PBE Tb2Pm6Sm3Th, relaxed; ρ = 7.7 g cm⁻³; Fermi-level density of states = 17.21 states/eV/f.u.; SG = No. 12; size of the total moment = 0.000 μB/f.u.; V = 404.8 Å³ per cell
1.0
6.272 0.005 0.016
-3.130 5.435 0.016
-1.076 -1.864 11.857
Tb Pm Sm Th
2 6 3 1
direct
0.333 0.667 0.000
0.667 0.333 0.000
0.917 0.587 0.753
0.753 0.753 0.247
0.083 0.413 0.247
0.587 0.917 0.753
0.247 0.247 0.753
0.413 0.083 0.247
0.167 0.833 0.500
0.833 0.167 0.500
0.500 0.500 0.500
0.000 0.000 0.000



PBE Pm2Er2Tm5, relaxed; ρ = 8.5 g cm⁻³; Fermi-level density of states = 15.42 states/eV/f.u.; SG = No. 46; size of the total moment = 0.000 μB/f.u.; V = 576.9 Å³ per cell
1.0
-6.230 9.298 3.120
-4.999 -2.016 -3.975
2.692 -7.487 6.053
Pm Er Tm
4 4 10
direct
0.120 0.686 0.255
0.880 0.430 0.745
0.635 0.186 0.255
0.365 0.930 0.745
0.000 0.001 0.000
0.500 0.501 0.000
0.265 0.363 0.500
0.735 0.863 0.500
0.207 0.656 0.893
0.793 0.763 0.107
0.186 0.156 0.893
0.814 0.263 0.107
0.380 0.031 0.285
0.620 0.746 0.715
0.405 0.531 0.285
0.595 0.246 0.715
0.995 0.659 0.500
0.005 0.159 0.500



no.,formation energy (eV per atom)
1,0.03
2,0.22